# 1
Compound: YCo2Mo2
Source: Alexandria
Functional: PBE
Structure: optimized geometry

E above lowest polymorph, eV/atom: 0.000
ΔE_f, eV per atom: 0.062
Energy, eV per cell: -42.03
Volume, Å³/f.u.: 83.6
Magnetic moment, μB/cell: 0.002
ρ, Mg/m³: 7.9

abc: 5.951 5.951 5.951
angles: 140.76 140.76 56.70
Sites, in units of the cell vectors:
Y (0.000, 0.000, 0.000)
Co (0.391, 0.391, 0.000)
Co (0.609, 0.609, 0.000)
Mo (0.250, 0.750, 0.500)
Mo (0.750, 0.250, 0.500)

# 2
Compound: YCo2Mo2
Source: Alexandria
Functional: PBE
Structure: optimized geometry

E above lowest polymorph, eV/atom: 0.161
ΔE_f, eV per atom: 0.223
Energy, eV per cell: -82.44
Volume, Å³/f.u.: 78.3
Magnetic moment, μB/cell: 0.681
ρ, Mg/m³: 8.5

abc: 7.626 7.626 2.693
angles: 90.00 90.00 90.00
Sites, in units of the cell vectors:
Y (0.000, 0.000, 0.000)
Y (0.500, 0.500, 0.000)
Co (0.171, 0.329, 0.500)
Co (0.329, 0.829, 0.500)
Co (0.671, 0.171, 0.500)
Co (0.829, 0.671, 0.500)
Mo (0.121, 0.621, 0.000)
Mo (0.379, 0.121, 0.000)
Mo (0.621, 0.879, 0.000)
Mo (0.879, 0.379, 0.000)

# 3
Compound: Y2Co2Mo
Source: Alexandria
Functional: PBE
Structure: optimized geometry

E above lowest polymorph, eV/atom: 0.419
ΔE_f, eV per atom: 0.452
Energy, eV per cell: -35.71
Volume, Å³/f.u.: 96.1
Magnetic moment, μB/cell: 0.246
ρ, Mg/m³: 6.8

abc: 9.274 9.274 9.274
angles: 159.69 159.69 28.88
Sites, in units of the cell vectors:
Y (0.116, 0.116, 0.000)
Y (0.884, 0.884, 0.000)
Co (0.250, 0.750, 0.500)
Co (0.750, 0.250, 0.500)
Mo (0.500, 0.500, 0.000)

# 4
Compound: YCo2Mo2
Source: Alexandria
Functional: PBE
Structure: optimized geometry

E above lowest polymorph, eV/atom: 0.191
ΔE_f, eV per atom: 0.253
Energy, eV per cell: -82.15
Volume, Å³/f.u.: 77.8
Magnetic moment, μB/cell: 0.000
ρ, Mg/m³: 8.5

abc: 7.487 7.487 2.777
angles: 90.00 90.00 90.00
Sites, in units of the cell vectors:
Y (0.000, 0.000, 0.000)
Y (0.500, 0.500, 0.000)
Co (0.122, 0.378, 0.000)
Co (0.378, 0.878, 0.000)
Co (0.622, 0.122, 0.000)
Co (0.878, 0.622, 0.000)
Mo (0.164, 0.664, 0.500)
Mo (0.336, 0.164, 0.500)
Mo (0.664, 0.836, 0.500)
Mo (0.836, 0.336, 0.500)